Material: LaNd3Rh3
Method: DFT, PBE-GGA
State: optimized geometry

Lattice parameters (Å, degrees): 9.549 10.505 7.203 90.00 90.59 90.00
Space group C2/m (No. 12)
Asymmetric unit:
La: 0.250 0.000 0.130 [4 per cell]
Nd: 0.000 0.180 0.500 [4 per cell]
Nd: 0.000 0.247 0.000 [4 per cell]
Nd: 0.173 0.500 0.377 [4 per cell]
Rh: 0.066 0.000 0.805 [4 per cell]
Rh: 0.247 0.256 0.721 [8 per cell]

- DOS at the Fermi energy (states/eV/f.u.) = 5.18
- energy of formation (eV/atom) = -0.565
- volume (Å³/cell) = 723

---

Material: Mg2TaSb
Method: DFT, PBE-GGA
State: optimized geometry

Lattice parameters (Å, degrees): 3.048 3.048 9.311 90.00 90.00 90.00
Space group P4/mmm (No. 123)
Asymmetric unit:
Mg: 0.000 0.000 0.228 [2 per cell]
Ta: 0.500 0.500 0.000 [1 per cell]
Sb: 0.500 0.500 0.500 [1 per cell]

- raw formation energy (meV/atom) = 144.8
- DOS at the Fermi energy (states/eV/f.u.) = 0.98
- volume (Å³/cell) = 86

---

Material: InPbBr2
Method: DFT, PBE-GGA
State: optimized geometry

Lattice parameters (Å, degrees): 3.808 3.808 8.773 90.00 90.00 90.00
Space group P4mm (No. 99)
Asymmetric unit:
In: 0.000 0.000 0.000 [1 per cell]
Pb: 0.500 0.500 0.245 [1 per cell]
Br: 0.000 0.000 0.442 [1 per cell]
Br: 0.500 0.500 0.821 [1 per cell]

- raw formation energy (meV/atom) = -439.6
- DOS at the Fermi energy (states/eV/f.u.) = 0.88
- energy above the lowest structure with this stoichiometry (meV per atom) = 100
- volume (Å³/cell) = 127

---

Material: SrCd2W
Method: DFT, PBE-GGA
State: optimized geometry

Lattice parameters (Å, degrees): 3.087 5.468 10.947 90.00 90.00 90.00
Space group Imm2 (No. 44)
Asymmetric unit:
Sr: 0.000 0.000 0.000 [2 per cell]
Cd: 0.000 0.000 0.484 [2 per cell]
Cd: 0.000 0.500 0.226 [2 per cell]
W: 0.000 0.500 0.763 [2 per cell]

- DOS at the Fermi energy (states/eV/f.u.) = 2.79
- energy above the lowest structure with this stoichiometry (meV per atom) = 170
- energy of formation (eV/atom) = 0.724
- volume (Å³/cell) = 185

---

Material: DyPaAu
Method: DFT, PBE-GGA
State: optimized geometry

Lattice parameters (Å, degrees): 3.880 3.880 20.989 90.00 90.00 90.00
Space group I4/mmm (No. 139)
Asymmetric unit:
Dy: 0.000 0.000 0.111 [4 per cell]
Pa: 0.000 0.000 0.276 [4 per cell]
Au: 0.000 0.000 0.436 [4 per cell]

- DOS at the Fermi energy (states/eV/f.u.) = 5.23
- energy above the lowest structure with this stoichiometry (meV per atom) = 0
- energy of formation (eV/atom) = -0.229
- volume (Å³/cell) = 316

---

Material: Er3ScAu4
Method: DFT, PBE-GGA
State: optimized geometry

Lattice parameters (Å, degrees): 3.509 5.011 10.003 90.00 90.00 90.00
Space group Pmmm (No. 47)
Asymmetric unit:
Er: 0.000 0.000 0.000 [1 per cell]
Er: 0.000 0.500 0.253 [2 per cell]
Sc: 0.000 0.000 0.500 [1 per cell]
Au: 0.500 0.000 0.262 [2 per cell]
Au: 0.500 0.500 0.000 [1 per cell]
Au: 0.500 0.500 0.500 [1 per cell]

- DOS at the Fermi energy (states/eV/f.u.) = 3.60
- energy of formation (eV/atom) = -0.854
- volume (Å³/cell) = 176

---

Material: LaPr2Mg2Tl2
Method: DFT, PBE-GGA
State: optimized geometry

Lattice parameters (Å, degrees): 5.0841 5.0841 27.7731 90.00 90.00 120.00
Space group R-3m (No. 166, hexagonal axes)
Asymmetric unit:
La: 0.0000 0.0000 0.0000 [3 per cell]
Pr: 0.0000 0.0000 0.1303 [6 per cell]
Mg: 0.0000 0.0000 0.4045 [6 per cell]
Tl: 0.0000 0.0000 0.2643 [6 per cell]

- DOS at the Fermi energy (states/eV/f.u.) = 4.95
- energy of formation (eV/atom) = -0.205
- volume (Å³/cell) = 622

---

Material: LaTc3Sb
Method: DFT, PBE-GGA
State: optimized geometry

Lattice parameters (Å, degrees): 4.918 4.918 4.918 90.00 90.00 90.00
Space group Pm-3m (No. 221)
Asymmetric unit:
La: 0.000 0.000 0.000 [1 per cell]
Tc: 0.000 0.500 0.500 [3 per cell]
Sb: 0.500 0.500 0.500 [1 per cell]

- raw formation energy (meV/atom) = 1056.4
- DOS at the Fermi energy (states/eV/f.u.) = 5.29
- energy above the lowest structure with this stoichiometry (meV per atom) = 0
- volume (Å³/cell) = 119

---

Material: Pm5IrRh4
Method: DFT, PBE-GGA
State: optimized geometry

Lattice parameters (Å, degrees): 3.569 3.569 17.118 90.00 90.00 90.00
Space group P4/mmm (No. 123)
Asymmetric unit:
Pm: 0.000 0.000 0.000 [1 per cell]
Pm: 0.000 0.000 0.200 [2 per cell]
Pm: 0.000 0.000 0.401 [2 per cell]
Ir: 0.500 0.500 0.500 [1 per cell]
Rh: 0.500 0.500 0.100 [2 per cell]
Rh: 0.500 0.500 0.298 [2 per cell]

- DOS at the Fermi energy (states/eV/f.u.) = 7.62
- energy of formation (eV/atom) = -0.664
- volume (Å³/cell) = 218

---

Material: Pa2SiGe3Ir4
Method: DFT, PBE-GGA
State: optimized geometry

Lattice parameters (Å, degrees): 4.184 4.184 10.116 90.00 90.00 90.00
Space group P-4m2 (No. 115)
Asymmetric unit:
Pa: 0.000 0.500 0.249 [2 per cell]
Si: 0.500 0.500 0.000 [1 per cell]
Ge: 0.000 0.000 0.000 [1 per cell]
Ge: 0.000 0.500 0.637 [2 per cell]
Ir: 0.000 0.000 0.500 [1 per cell]
Ir: 0.000 0.500 0.875 [2 per cell]
Ir: 0.500 0.500 0.500 [1 per cell]

- raw formation energy (meV/atom) = -745.8
- DOS at the Fermi energy (states/eV/f.u.) = 3.62
- volume (Å³/cell) = 177